Below is PtAuCl after structural relaxation, with properties calculated at the PBE level.

Cell: 3.0154 3.0154 12.0314 Å, 90.00 90.00 90.00°
Last column: nearest neighbours and their distance in Å.
Space group I4mm (No. 107)
One atom of each set of equivalent atoms:
Pt 0.0000 0.0000 0.0000 [2 per cell]  4 Cl 2.81, 4 Au 2.84, 4 Pt 3.02
Au 0.0000 0.0000 0.6556 [2 per cell]  4 Pt 2.84, 4 Au 3.02, 4 Cl 3.14
Cl 0.0000 0.0000 0.3473 [2 per cell]  4 Pt 2.81, 4 Cl 3.02, 4 Au 3.14

Summary:
- E: -3.270 eV per atom
- E_form (uncorrected): 43.56 kJ per mole of atoms



Below is YV2Au2 after structural relaxation, with properties calculated at the PBE level.

Cell: 7.6730 7.6730 3.1794 Å, 90.00 90.00 90.00°
Last column: nearest neighbours and their distance in Å.
Space group P4/mbm (No. 127)
One atom of each set of equivalent atoms:
Y 0.0000 0.0000 0.0000 [2 per cell]  2 Y 3.18, 8 Au 3.18, 4 V 3.24
V 0.0872 0.4128 0.0000 [4 per cell]  1 V 1.89
Au 0.2036 0.7036 0.5000 [4 per cell]  6 V 2.77-2.88

Summary:
- E: -6.321 eV per atom
- DFT formation energy: -1.61 kcal/mol of atoms



Below is KCa2Ag after structural relaxation, with properties calculated at the PBE level.

Cell: 7.3280 11.9446 3.8180 Å, 90.00 116.12 90.00°
Last column: nearest neighbours and their distance in Å.
Space group C2/m (No. 12)
One atom of each set of equivalent atoms:
K 0.0000 0.0000 0.0000 [2 per cell]  4 Ca 3.58, 4 Ag 3.66-3.96, 2 K 3.82
Ca 0.2500 0.2500 0.5000 [4 per cell]  2 K 3.58, 2 Ag 3.58, 6 Ca 3.66-3.96
Ag 0.0000 0.5000 0.0000 [2 per cell]  4 Ca 3.58, 4 K 3.66-3.96, 2 Ag 3.82

Summary:
- E: -1.791 eV per atom
- DFT formation energy: 4.55 kcal/mol of atoms



Below is TaOsW2I after structural relaxation, with properties calculated at the PBE level.

Cell: 4.8070 4.8070 4.7016 Å, 90.00 90.00 90.00°
Last column: nearest neighbours and their distance in Å.
Space group P4/mmm (No. 123)
One atom of each set of equivalent atoms:
Ta 0.0000 0.0000 0.0000 [1 per cell]  8 W 3.36, 4 Os 3.40
Os 0.5000 0.5000 0.0000 [1 per cell]  2 I 2.35
W 0.0000 0.5000 0.5000 [2 per cell]  2 I 2.40
I 0.5000 0.5000 0.5000 [1 per cell]  2 Os 2.35, 4 W 2.40

Summary:
- E: -7.351 eV per atom
- E_form (uncorrected): 266.02 kJ per mole of atoms



Below is Ce5NiGe2 after structural relaxation, with properties calculated at the PBE level.

Cell: 11.6759 11.6759 5.6421 Å, 90.00 90.00 90.00°
Last column: nearest neighbours and their distance in Å.
Space group P4/ncc (No. 130, origin choice 2)
One atom of each set of equivalent atoms:
Ce 0.0347 0.1710 0.2494 [16 per cell]  2 Ni 3.02-3.03, 4 Ge 3.08-3.31, 2 Ce 3.37
Ce 0.2500 0.7500 0.0000 [4 per cell]  2 Ce 2.82, 4 Ge 3.03
Ni 0.2500 0.2500 0.4970 [4 per cell]  2 Ni 2.82, 8 Ce 3.02-3.03
Ge 0.0878 0.5878 0.7500 [8 per cell]  10 Ce 3.03-3.31

Summary:
- E: -6.025 eV per atom
- DFT formation energy: -10.12 kcal/mol of atoms



Below is SrAs2 after structural relaxation, with properties calculated at the PBE level.

Cell: 6.4428 6.4428 8.4346 Å, 90.00 90.00 90.00°
Last column: nearest neighbours and their distance in Å.
Space group I4/mcm (No. 140)
One atom of each set of equivalent atoms:
Sr 0.0000 0.0000 0.2500 [4 per cell]  8 As 3.30
As 0.1279 0.3721 0.0000 [8 per cell]  1 As 2.33

Summary:
- E: -4.140 eV per atom
- DFT formation energy: -11.05 kcal/mol of atoms



Below is CsZnMo3 after structural relaxation, with properties calculated at the PBE level.

Cell: 4.9004 4.9004 4.9004 Å, 90.00 90.00 90.00°
Last column: nearest neighbours and their distance in Å.
Space group Pm-3m (No. 221)
One atom of each set of equivalent atoms:
Cs 0.0000 0.0000 0.0000 [1 per cell]  6 Mo 2.45
Zn 0.5000 0.5000 0.5000 [1 per cell]  12 Mo 3.47
Mo 0.0000 0.0000 0.5000 [3 per cell]  2 Cs 2.45

Summary:
- E: -3.745 eV per atom
- DFT formation energy: 73.30 kcal/mol of atoms



Below is La5Ho4Tm2 after structural relaxation, with properties calculated at the PBE level.

Cell: 3.5377 9.2274 23.7749 Å, 90.00 90.00 90.00°
Last column: nearest neighbours and their distance in Å.
Space group Immm (No. 71)
One atom of each set of equivalent atoms:
La 0.0000 0.0000 0.0000 [2 per cell]  4 Ho 3.41, 2 La 3.54
La 0.0000 0.2984 0.3523 [8 per cell]  3 Tm 3.45-3.81, 3 Ho 3.49-3.67, 3 La 3.54-3.72
Ho 0.0000 0.1839 0.5000 [4 per cell]  7 Ho 3.36-3.54, 4 La 3.41-3.67
Ho 0.0000 0.5000 0.0965 [4 per cell]  1 Tm 3.17, 6 Ho 3.36-3.54, 4 La 3.49
Tm 0.0000 0.5000 0.2299 [4 per cell]  1 Ho 3.17, 2 La 3.45, 2 Tm 3.54

Summary:
- E: -4.527 eV per atom
- DFT formation energy: 4.38 kcal/mol of atoms